Entry 1:
VASP calculation (SCAN) on a crystal of Cu2AsPt relaxed with PBEsol.

DFT total energy: -30.26 eV per atom
N(E_F): 2.18 states/eV/f.u.
M_tot: 0.00 μB/cell
formation enthalpy at 0 K: -0.07 eV per atom

Cell: 3.748 3.859 3.744 Å, 90.00 90.00 90.00°
Element x y z (fractional)
As: 0.000 0.500 0.500
Cu: 0.000 0.000 0.000
Cu: 0.500 0.000 0.500
Pt: 0.500 0.500 0.000


Entry 2:
VASP calculation (SCAN) on a crystal of Mg2SbPb relaxed with PBEsol.

DFT total energy: -30.88 eV per atom
N(E_F): 1.75 states/eV/f.u.
M_tot: 0.00 μB/cell
E above lowest polymorph: 15 kJ/mol of formula units

Cell: 3.403 5.357 5.359 Å, 90.00 90.00 90.00°
Element x y z (fractional)
Pb: 0.375 0.380 0.000
Sb: 0.375 0.871 0.500
Mg: 0.875 0.880 0.000
Mg: 0.875 0.369 0.500


Entry 3:
VASP calculation (SCAN) on a crystal of LaZn3P relaxed with PBEsol.

DFT total energy: -18.75 eV per atom
N(E_F): 2.50 states/eV/f.u.
M_tot: 0.00 μB/cell
formation enthalpy at 0 K: 0.06 eV per atom

Cell: 4.688 4.688 4.688 Å, 90.00 90.00 90.00°
Element x y z (fractional)
P: 0.000 0.000 0.000
Zn: 0.000 0.500 0.000
Zn: 0.000 0.000 0.500
Zn: 0.500 0.000 0.000
La: 0.500 0.500 0.500